Entry 1:
This record from the Alexandria database describes crystalline Ho3Ga9Co2 at its relaxed geometry. The functional is GGA-PBE.

Computed properties:
Its energy relative to the elements is -7.2 eV per formula unit. As for the density: 8.5 g/cm3.

Cell: 7.9751 7.9751 7.9751 Å, 149.42 107.45 80.74°
Sites, in units of the cell vectors:
1 Ho 0.0000 0.0000 0.0000
2 Ho 0.3030 0.3030 0.0000
3 Ho 0.6970 0.6970 0.0000
4 Ga 0.0129 0.6508 0.3621
5 Ga 0.1528 0.8695 0.2833
6 Ga 0.2887 0.6508 0.6379
7 Ga 0.4138 0.1305 0.2833
8 Ga 0.5000 0.0000 0.5000
9 Ga 0.5862 0.8695 0.7167
10 Ga 0.7113 0.3492 0.3621
11 Ga 0.8472 0.1305 0.7167
12 Ga 0.9871 0.3492 0.6379
13 Co 0.3237 0.5000 0.8237
14 Co 0.6763 0.5000 0.1763



Entry 2:
This record from the Alexandria database describes crystalline Ho6GaCo at its relaxed geometry. The functional is GGA-PBE.

Computed properties:
Its energy relative to the elements is -0.4 eV per formula unit. As for the density: 8.2 g/cm3.

Cell: 6.5281 6.5281 6.5033 Å, 101.41 101.41 117.32°
Sites, in units of the cell vectors:
1 Ho 0.0329 0.4052 0.2437
2 Ho 0.2340 0.2340 0.7712
3 Ho 0.4052 0.0329 0.2437
4 Ho 0.5948 0.9671 0.7563
5 Ho 0.7660 0.7660 0.2288
6 Ho 0.9671 0.5948 0.7563
7 Ga 0.5000 0.5000 0.5000
8 Co 0.0000 0.0000 0.0000



Entry 3:
This record from the Alexandria database describes crystalline HoGa2Co at its relaxed geometry. The functional is GGA-PBE.

Computed properties:
Its energy relative to the elements is -1.3 eV per formula unit. As for the density: 9.0 g/cm3.

Cell: 3.1232 3.1232 6.8884 Å, 90.00 90.00 90.00°
Sites, in units of the cell vectors:
1 Ho 0.0000 0.0000 0.0000
2 Ga 0.5000 0.5000 0.3081
3 Ga 0.5000 0.5000 0.6919
4 Co 0.0000 0.0000 0.5000



Entry 4:
This record from the Alexandria database describes crystalline Ho4Ga12Co at its relaxed geometry. The functional is GGA-PBE.

Computed properties:
Its energy relative to the elements is -9.4 eV per formula unit. As for the density: 8.3 g/cm3.

Cell: 7.4012 7.4012 7.4012 Å, 109.47 109.47 109.47°
Sites, in units of the cell vectors:
1 Ho 0.0000 0.0000 0.5000
2 Ho 0.0000 0.5000 0.0000
3 Ho 0.5000 0.0000 0.0000
4 Ho 0.5000 0.5000 0.5000
5 Ga 0.0000 0.2826 0.2826
6 Ga 0.0000 0.7174 0.7174
7 Ga 0.2500 0.5000 0.7500
8 Ga 0.2500 0.7500 0.5000
9 Ga 0.2826 0.0000 0.2826
10 Ga 0.2826 0.2826 0.0000
11 Ga 0.5000 0.2500 0.7500
12 Ga 0.5000 0.7500 0.2500
13 Ga 0.7174 0.0000 0.7174
14 Ga 0.7174 0.7174 0.0000
15 Ga 0.7500 0.2500 0.5000
16 Ga 0.7500 0.5000 0.2500
17 Co 0.0000 0.0000 0.0000



Entry 5:
This record from the Alexandria database describes crystalline Ho3Ga2Co2 at its relaxed geometry. The functional is GGA-PBE.

Computed properties:
Its energy relative to the elements is -3.4 eV per formula unit. As for the density: 9.1 g/cm3.

Cell: 5.4598 7.6935 13.0168 Å, 90.00 90.00 90.00°
Sites, in units of the cell vectors:
1 Ho 0.1330 0.2403 0.2500
2 Ho 0.1330 0.2597 0.7500
3 Ho 0.3454 0.5992 0.0966
4 Ho 0.3454 0.5992 0.4034
5 Ho 0.3454 0.9008 0.5966
6 Ho 0.3454 0.9008 0.9034
7 Ho 0.6546 0.0992 0.0966
8 Ho 0.6546 0.0992 0.4034
9 Ho 0.6546 0.4008 0.5966
10 Ho 0.6546 0.4008 0.9034
11 Ho 0.8670 0.7403 0.2500
12 Ho 0.8670 0.7597 0.7500
13 Ga 0.1370 0.2500 0.0000
14 Ga 0.1370 0.2500 0.5000
15 Ga 0.3591 0.6051 0.7500
16 Ga 0.3591 0.8949 0.2500
17 Ga 0.6409 0.1051 0.7500
18 Ga 0.6409 0.3949 0.2500
19 Ga 0.8630 0.7500 0.0000
20 Ga 0.8630 0.7500 0.5000
21 Co 0.1381 0.5346 0.5902
22 Co 0.1381 0.5346 0.9098
23 Co 0.1381 0.9654 0.0902
24 Co 0.1381 0.9654 0.4098
25 Co 0.8619 0.0346 0.5902
26 Co 0.8619 0.0346 0.9098
27 Co 0.8619 0.4654 0.0902
28 Co 0.8619 0.4654 0.4098



Entry 6:
This record from the Alexandria database describes crystalline Ho4GaCo3 at its relaxed geometry. The functional is GGA-PBE.

Computed properties:
Its energy relative to the elements is -2.4 eV per formula unit. As for the density: 9.1 g/cm3.

Cell: 3.9568 4.0888 10.2306 Å, 90.00 90.00 90.00°
Sites, in units of the cell vectors:
1 Ho 0.0000 0.0000 0.0000
2 Ho 0.0000 0.5000 0.2779
3 Ho 0.5000 0.0000 0.4828
4 Ho 0.5000 0.5000 0.7752
5 Ga 0.0000 0.0000 0.6984
6 Co 0.0000 0.5000 0.5647
7 Co 0.5000 0.0000 0.1892
8 Co 0.5000 0.5000 0.0851



Entry 7:
This record from the Alexandria database describes crystalline HoGa5Co2 at its relaxed geometry. The functional is GGA-PBE.

Computed properties:
Its energy relative to the elements is -3.1 eV per formula unit. As for the density: 8.0 g/cm3.

Cell: 6.2706 6.2706 6.2706 Å, 144.17 112.22 79.12°
Sites, in units of the cell vectors:
1 Ho 0.0000 0.0000 0.0000
2 Ga 0.1485 0.3458 0.8027
3 Ga 0.4569 0.6542 0.8027
4 Ga 0.5000 0.0000 0.5000
5 Ga 0.5431 0.3458 0.1973
6 Ga 0.8515 0.6542 0.1973
7 Co 0.2611 0.7611 0.5000
8 Co 0.7389 0.2389 0.5000



Entry 8:
This record from the Alexandria database describes crystalline Ho3Ga7Co2 at its relaxed geometry. The functional is GGA-PBE.

Computed properties:
Its energy relative to the elements is -4.1 eV per formula unit. The offset from the most stable computed form is 1.24 eV per formula unit. As for the density: 7.8 g/cm3.

Cell: 12.2852 12.2852 12.2852 Å, 159.11 159.11 29.71°
Sites, in units of the cell vectors:
1 Ho 0.0000 0.0000 0.0000
2 Ho 0.1761 0.1761 0.0000
3 Ho 0.8239 0.8239 0.0000
4 Ga 0.0879 0.5879 0.5000
5 Ga 0.2958 0.2958 0.0000
6 Ga 0.4121 0.9121 0.5000
7 Ga 0.5000 0.5000 0.0000
8 Ga 0.5879 0.0879 0.5000
9 Ga 0.7042 0.7042 0.0000
10 Ga 0.9121 0.4121 0.5000
11 Co 0.3924 0.3924 0.0000
12 Co 0.6076 0.6076 0.0000



Entry 9:
This record from the Alexandria database describes crystalline HoGa2Co at its relaxed geometry. The functional is GGA-PBE.

Computed properties:
Its energy relative to the elements is -2.1 eV per formula unit. As for the density: 8.8 g/cm3.

Cell: 14.5614 6.8342 5.5148 Å, 90.00 90.00 90.00°
Sites, in units of the cell vectors:
1 Ho 0.1018 0.2500 0.2382
2 Ho 0.1384 0.7500 0.4651
3 Ho 0.3616 0.2500 0.9651
4 Ho 0.3982 0.7500 0.7382
5 Ho 0.6018 0.2500 0.2618
6 Ho 0.6384 0.7500 0.0349
7 Ho 0.8616 0.2500 0.5349
8 Ho 0.8982 0.7500 0.7618
9 Ga 0.0417 0.0576 0.7528
10 Ga 0.0417 0.4424 0.7528
11 Ga 0.2116 0.5495 0.9477
12 Ga 0.2116 0.9505 0.9477
13 Ga 0.2884 0.0495 0.4477
14 Ga 0.2884 0.4505 0.4477
15 Ga 0.4583 0.5576 0.2528
16 Ga 0.4583 0.9424 0.2528
17 Ga 0.5417 0.0576 0.7472
18 Ga 0.5417 0.4424 0.7472
19 Ga 0.7116 0.5495 0.5523
20 Ga 0.7116 0.9505 0.5523
21 Ga 0.7884 0.0495 0.0523
22 Ga 0.7884 0.4505 0.0523
23 Ga 0.9583 0.5576 0.2472
24 Ga 0.9583 0.9424 0.2472
25 Co 0.0709 0.7500 0.9938
26 Co 0.1894 0.2500 0.7075
27 Co 0.3106 0.7500 0.2075
28 Co 0.4291 0.2500 0.4938
29 Co 0.5709 0.7500 0.5062
30 Co 0.6894 0.2500 0.7925
31 Co 0.8106 0.7500 0.2925
32 Co 0.9291 0.2500 0.0062



Entry 10:
This record from the Alexandria database describes crystalline HoGa8Co4 at its relaxed geometry. The functional is GGA-PBE.

Computed properties:
Its energy relative to the elements is -4.6 eV per formula unit. As for the density: 8.5 g/cm3.

Cell: 6.5448 6.5448 6.5448 Å, 99.00 99.00 133.40°
Sites, in units of the cell vectors:
1 Ho 0.0000 0.0000 0.0000
2 Ga 0.0000 0.3392 0.3392
3 Ga 0.0000 0.6608 0.6608
4 Ga 0.2760 0.5000 0.7760
5 Ga 0.3392 0.0000 0.3392
6 Ga 0.5000 0.2760 0.7760
7 Ga 0.5000 0.7240 0.2240
8 Ga 0.6608 0.0000 0.6608
9 Ga 0.7240 0.5000 0.2240
10 Co 0.0000 0.0000 0.5000
11 Co 0.0000 0.5000 0.0000
12 Co 0.5000 0.0000 0.0000
13 Co 0.5000 0.5000 0.5000



Calculated V in order - 241.1 227.7 67.2 312.1 546.8 165.5 130.4 235.5 548.8 187.1 Å³/cell
Calculated DOS at the Fermi energy in order - 5.11 10.83 2.40 7.54 20.15 7.17 4.42 6.62 22.47 9.68 states/eV/cell